(1)
Material: AcHRh
Method: DFT, PBE
State: optimized geometry

Cell lengths 4.652, 4.652, 4.652 Å; angles 126.80, 126.80, 78.57 degrees
Fractional coordinates of all 3 atoms:
Ac  0.000  0.000  0.000
H  0.340  0.340  0.000
Rh  0.566  0.566  0.000

Output
Fermi-level density of states = 1.2 states/eV/cell
Volume = 62 Å³ per cell
E = -15.9 eV for the cell shown
Spin magnetization = 0.000 Bohr magnetons per cell

=====

(2)
Material: AcH3Rh
Method: DFT, PBE
State: optimized geometry

Cell lengths 3.884, 3.884, 3.884 Å; angles 90.00, 90.00, 90.00 degrees
Fractional coordinates of all 5 atoms:
Ac  0.000  0.000  0.000
H  0.000  0.500  0.500
H  0.500  0.000  0.500
H  0.500  0.500  0.000
Rh  0.500  0.500  0.500

Output
Fermi-level density of states = 1.0 states/eV/cell
Volume = 59 Å³ per cell
E = -24.2 eV for the cell shown
Spin magnetization = 0.000 Bohr magnetons per cell

=====

(3)
Material: Ac4HRh3
Method: DFT, PBE
State: optimized geometry

Cell lengths 4.283, 7.313, 7.313 Å; angles 109.26, 90.00, 90.00 degrees
Fractional coordinates of all 8 atoms:
Ac  0.000  0.000  0.000
Ac  0.000  0.492  0.492
Ac  0.500  0.497  0.994
Ac  0.500  0.994  0.497
H  0.500  0.746  0.746
Rh  0.000  0.245  0.746
Rh  0.000  0.746  0.245
Rh  0.500  0.246  0.246

Output
Fermi-level density of states = 3.5 states/eV/cell
Volume = 216 Å³ per cell
E = -46.6 eV for the cell shown
Spin magnetization = 0.000 Bohr magnetons per cell

=====

(4)
Material: AcH3Rh2
Method: DFT, PBE
State: optimized geometry

Cell lengths 5.677, 5.677, 5.459 Å; angles 90.00, 90.00, 101.70 degrees
Fractional coordinates of all 12 atoms:
Ac  0.202  0.798  0.750
Ac  0.798  0.202  0.250
H  0.106  0.235  0.750
H  0.235  0.106  0.250
H  0.480  0.520  0.250
H  0.520  0.480  0.750
H  0.765  0.894  0.750
H  0.894  0.765  0.250
Rh  0.306  0.306  0.000
Rh  0.306  0.306  0.500
Rh  0.694  0.694  0.000
Rh  0.694  0.694  0.500

Output
Fermi-level density of states = 7.8 states/eV/cell
Volume = 172 Å³ per cell
E = -62.1 eV for the cell shown
Spin magnetization = 0.000 Bohr magnetons per cell

=====

(5)
Material: Ac4HRh2
Method: DFT, PBE
State: optimized geometry

Cell lengths 8.378, 8.378, 8.378 Å; angles 144.05, 144.05, 51.75 degrees
Fractional coordinates of all 7 atoms:
Ac  0.000  0.500  0.500
Ac  0.198  0.198  0.000
Ac  0.500  0.000  0.500
Ac  0.802  0.802  0.000
H  0.000  0.000  0.000
Rh  0.383  0.383  0.000
Rh  0.617  0.617  0.000

Output
Fermi-level density of states = 5.2 states/eV/cell
Volume = 202 Å³ per cell
E = -37.2 eV for the cell shown
Spin magnetization = 0.000 Bohr magnetons per cell

=====

(6)
Material: Ac4H2Rh3
Method: DFT, PBE
State: optimized geometry

Cell lengths 8.229, 8.229, 6.686 Å; angles 92.96, 92.96, 75.51 degrees
Fractional coordinates of all 18 atoms:
Ac  0.047  0.747  0.985
Ac  0.253  0.953  0.515
Ac  0.270  0.423  0.415
Ac  0.423  0.270  0.915
Ac  0.577  0.730  0.085
Ac  0.730  0.577  0.585
Ac  0.747  0.047  0.485
Ac  0.953  0.253  0.015
H  0.160  0.439  0.067
H  0.439  0.160  0.567
H  0.561  0.840  0.433
H  0.840  0.561  0.933
Rh  0.014  0.728  0.496
Rh  0.272  0.986  0.004
Rh  0.363  0.637  0.750
Rh  0.637  0.363  0.250
Rh  0.728  0.014  0.996
Rh  0.986  0.272  0.504

Output
Fermi-level density of states = 5.4 states/eV/cell
Volume = 437 Å³ per cell
E = -99.6 eV for the cell shown
Spin magnetization = 0.000 Bohr magnetons per cell

=====

(7)
Material: Ac2H8Rh3
Method: DFT, PBE
State: optimized geometry

Cell lengths 5.913, 5.913, 5.243 Å; angles 107.26, 107.26, 58.84 degrees
Fractional coordinates of all 13 atoms:
Ac  0.192  0.192  0.199
Ac  0.808  0.808  0.801
H  0.109  0.109  0.608
H  0.217  0.608  0.146
H  0.392  0.392  0.658
H  0.392  0.783  0.854
H  0.608  0.217  0.146
H  0.608  0.608  0.342
H  0.783  0.392  0.854
H  0.891  0.891  0.392
Rh  0.251  0.749  0.500
Rh  0.500  0.500  0.000
Rh  0.749  0.251  0.500

Output
Fermi-level density of states = 1.8 states/eV/cell
Volume = 147 Å³ per cell
E = -62.4 eV for the cell shown
Spin magnetization = 0.000 Bohr magnetons per cell

=====

(8)
Material: AcHRh
Method: DFT, PBE
State: optimized geometry

Cell lengths 11.244, 5.205, 3.754 Å; angles 90.00, 90.00, 90.00 degrees
Fractional coordinates of all 12 atoms:
Ac  0.137  0.250  0.001
Ac  0.363  0.750  0.501
Ac  0.637  0.250  0.499
Ac  0.863  0.750  0.999
H  0.103  0.750  0.001
H  0.397  0.250  0.501
H  0.603  0.750  0.499
H  0.897  0.250  0.999
Rh  0.092  0.750  0.501
Rh  0.408  0.250  0.001
Rh  0.592  0.750  0.999
Rh  0.908  0.250  0.499

Output
Fermi-level density of states = 4.8 states/eV/cell
Volume = 220 Å³ per cell
E = -66.3 eV for the cell shown
Spin magnetization = 0.000 Bohr magnetons per cell

=====

(9)
Material: AcHRh2
Method: DFT, PBE
State: optimized geometry

Cell lengths 5.663, 5.663, 5.663 Å; angles 42.43, 42.43, 42.43 degrees
Fractional coordinates of all 4 atoms:
Ac  0.000  0.000  0.000
H  0.500  0.500  0.500
Rh  0.197  0.197  0.197
Rh  0.803  0.803  0.803

Output
Fermi-level density of states = 5.6 states/eV/cell
Volume = 75 Å³ per cell
E = -22.2 eV for the cell shown
Spin magnetization = 0.003 Bohr magnetons per cell

=====

(10)
Material: AcH6RuRh
Method: DFT, PBE
State: optimized geometry

Cell lengths 4.802, 4.802, 4.563 Å; angles 90.00, 90.00, 120.00 degrees
Fractional coordinates of all 9 atoms:
Ac  0.000  0.000  0.000
H  0.010  0.505  0.250
H  0.010  0.505  0.750
H  0.495  0.505  0.250
H  0.495  0.505  0.750
H  0.495  0.990  0.250
H  0.495  0.990  0.750
Ru  0.333  0.667  0.500
Rh  0.667  0.333  0.500

Output
Fermi-level density of states = 3.5 states/eV/cell
Volume = 91 Å³ per cell
E = -43.4 eV for the cell shown
Spin magnetization = 0.000 Bohr magnetons per cell

=====

(11)
Material: AcSbH6Rh3
Method: DFT, PBE
State: optimized geometry

Cell lengths 5.096, 5.096, 5.096 Å; angles 93.07, 93.07, 93.07 degrees
Fractional coordinates of all 11 atoms:
Ac  0.000  0.000  0.000
Sb  0.596  0.596  0.596
H  0.094  0.501  0.234
H  0.106  0.480  0.892
H  0.234  0.094  0.501
H  0.480  0.892  0.106
H  0.501  0.234  0.094
H  0.892  0.106  0.480
Rh  0.089  0.404  0.556
Rh  0.404  0.556  0.089
Rh  0.556  0.089  0.404

Output
Fermi-level density of states = 3.1 states/eV/cell
Volume = 132 Å³ per cell
E = -54.5 eV for the cell shown
Spin magnetization = 0.000 Bohr magnetons per cell

=====

(12)
Material: Ac2Sb2H4Rh
Method: DFT, PBE
State: optimized geometry

Cell lengths 6.228, 6.228, 6.228 Å; angles 118.25, 118.25, 93.06 degrees
Fractional coordinates of all 9 atoms:
Ac  0.250  0.750  0.500
Ac  0.750  0.250  0.500
Sb  0.175  0.175  0.000
Sb  0.825  0.825  0.000
H  0.312  0.312  0.624
H  0.312  0.688  0.000
H  0.688  0.312  0.000
H  0.688  0.688  0.376
Rh  0.500  0.500  0.000

Output
Fermi-level density of states = 3.1 states/eV/cell
Volume = 175 Å³ per cell
E = -40.9 eV for the cell shown
Spin magnetization = 0.000 Bohr magnetons per cell